# 1
Below is BaAsPt2 at its PBEsol-relaxed geometry, with properties calculated at the meta-GGA SCAN level.

M_tot, μB per formula unit: 0.000
ΔE_f, eV/atom: -0.95
DFT total energy, eV/atom: -50.981
Space group: I-42d (122)

Structure (POSCAR):
```
BaAsPt2
1.0
-2.594 2.594 8.067
2.594 -2.594 8.067
2.594 2.594 -8.067
Ba As Pt
2 2 4
Direct
0.000 0.000 0.000
0.750 0.250 0.500
0.250 0.750 0.500
0.500 0.500 0.000
0.353 0.125 0.728
0.375 0.647 0.772
0.397 0.625 0.272
0.875 0.603 0.228
```



# 2
Below is BaReN3 at its PBEsol-relaxed geometry, with properties calculated at the meta-GGA SCAN level.

E_form (uncorrected), eV per atom: -0.621
M_tot, μB per formula unit: 0.000
DFT total energy, eV/atom: -28.325
Space group: C2/c (15)

Structure (POSCAR):
```
BaReN3
1.0
5.545 -5.620 0.000
5.545 5.620 0.000
-1.393 0.000 6.007
Ba Re N
4 4 12
Direct
0.098 0.902 0.750
0.327 0.673 0.250
0.673 0.327 0.750
0.902 0.098 0.250
0.205 0.370 0.740
0.370 0.205 0.240
0.630 0.795 0.760
0.795 0.630 0.260
0.017 0.235 0.677
0.146 0.581 0.822
0.235 0.017 0.177
0.319 0.358 0.487
0.358 0.319 0.987
0.419 0.854 0.678
0.581 0.146 0.322
0.642 0.681 0.013
0.681 0.642 0.513
0.765 0.983 0.823
0.854 0.419 0.178
0.983 0.765 0.323
```



# 3
Below is LiCuF4 at its PBEsol-relaxed geometry, with properties calculated at the meta-GGA SCAN level.

E_form (uncorrected), eV per atom: -2.011
M_tot, μB per formula unit: 0.000
DFT total energy, eV/atom: -7.302
Space group: Cmc2_1 (36)

Structure (POSCAR):
```
LiCuF4
1.0
1.866 -7.312 0.000
1.866 7.312 0.000
0.000 0.000 5.057
Li Cu F
2 2 8
Direct
0.214 0.786 0.500
0.786 0.214 0.000
0.409 0.591 0.402
0.591 0.409 0.902
0.096 0.904 0.887
0.300 0.700 0.194
0.333 0.667 0.694
0.483 0.517 0.106
0.517 0.483 0.606
0.667 0.333 0.194
0.700 0.300 0.694
0.904 0.096 0.387
```



# 4
Below is Li2InAs at its PBEsol-relaxed geometry, with properties calculated at the meta-GGA SCAN level.

M_tot, μB per formula unit: 0.000
ΔE_f, eV/atom: -0.39
DFT total energy, eV/atom: -14.975
Space group: Pmm2 (25)

Structure (POSCAR):
```
Li2InAs
1.0
3.101 0.000 0.000
0.000 4.699 0.000
0.000 0.000 4.800
Li In As
2 1 1
Direct
0.000 0.000 0.000
0.000 0.500 0.373
0.500 0.000 0.499
0.500 0.500 0.887
```



# 5
Below is AgBi2WCl at its PBEsol-relaxed geometry, with properties calculated at the meta-GGA SCAN level.

E_form (uncorrected), eV per atom: 0.766
M_tot, μB per formula unit: 0.000
DFT total energy, eV/atom: -52.472
Space group: P4/mmm (123)

Structure (POSCAR):
```
AgBi2WCl
1.0
5.274 0.000 0.000
0.000 5.274 0.000
0.000 0.000 5.120
Ag Bi W Cl
1 2 1 1
Direct
0.000 0.000 0.000
0.000 0.500 0.500
0.500 0.000 0.500
0.000 0.000 0.500
0.500 0.500 0.000
```



# 6
Below is ZnCuP2 at its PBEsol-relaxed geometry, with properties calculated at the meta-GGA SCAN level.

M_tot, μB per formula unit: 0.000
ΔE_f, eV/atom: 0.40
DFT total energy, eV/atom: -11.976
Space group: Cmm2 (35)

Structure (POSCAR):
```
ZnCuP2
1.0
1.305 -2.345 0.000
1.305 2.345 0.000
0.000 0.000 8.942
Zn Cu P
1 1 2
Direct
0.000 0.000 0.000
0.500 0.500 0.236
0.000 0.000 0.459
0.500 0.500 0.754
```



# 7
Below is AlH6C2SeCl3 at its PBEsol-relaxed geometry, with properties calculated at the meta-GGA SCAN level.

M_tot, μB per formula unit: 0.000
DFT total energy, eV/atom: -7.778
Space group: Pbcm (57)

Structure (POSCAR):
```
AlH6C2SeCl3
1.0
6.248 0.000 0.000
0.000 12.564 0.000
0.000 0.000 10.602
Al H C Se Cl
4 24 8 4 12
Direct
0.052 0.062 0.250
0.052 0.438 0.750
0.948 0.562 0.250
0.948 0.938 0.750
0.248 0.631 0.524
0.248 0.631 0.976
0.248 0.869 0.024
0.248 0.869 0.476
0.414 0.719 0.619
0.414 0.719 0.881
0.414 0.781 0.119
0.414 0.781 0.381
0.456 0.575 0.623
0.456 0.575 0.877
0.456 0.925 0.123
0.456 0.925 0.377
0.544 0.075 0.623
0.544 0.075 0.877
0.544 0.425 0.123
0.544 0.425 0.377
0.586 0.219 0.619
0.586 0.219 0.881
0.586 0.281 0.119
0.586 0.281 0.381
0.752 0.131 0.524
0.752 0.131 0.976
0.752 0.369 0.024
0.752 0.369 0.476
0.338 0.640 0.613
0.338 0.640 0.887
0.338 0.860 0.113
0.338 0.860 0.387
0.662 0.140 0.613
0.662 0.140 0.887
0.662 0.360 0.113
0.662 0.360 0.387
0.132 0.633 0.750
0.132 0.867 0.250
0.868 0.133 0.750
0.868 0.367 0.250
0.184 0.124 0.080
0.184 0.124 0.420
0.184 0.376 0.580
0.184 0.376 0.920
0.290 0.573 0.250
0.290 0.927 0.750
0.710 0.073 0.250
0.710 0.427 0.750
0.816 0.624 0.080
0.816 0.624 0.420
0.816 0.876 0.580
0.816 0.876 0.920
```



# 8
Below is CaZrW2 at its PBEsol-relaxed geometry, with properties calculated at the meta-GGA SCAN level.

M_tot, μB per formula unit: 0.001
ΔE_f, eV/atom: 0.43
DFT total energy, eV/atom: -44.504
Space group: P4mm (99)

Structure (POSCAR):
```
CaZrW2
1.0
3.225 0.000 0.000
0.000 3.225 0.000
0.000 0.000 8.182
Ca Zr W
1 1 2
Direct
0.000 0.000 0.000
0.500 0.500 0.643
0.000 0.000 0.433
0.500 0.500 0.268
```



# 9
Below is Li2PbSe2 at its PBEsol-relaxed geometry, with properties calculated at the meta-GGA SCAN level.

E_form (uncorrected), eV per atom: -0.927
M_tot, μB per formula unit: 0.000
DFT total energy, eV/atom: -25.071
Space group: I4/mmm (139)

Structure (POSCAR):
```
Li2PbSe2
1.0
-1.970 1.970 6.602
1.970 -1.970 6.602
1.970 1.970 -6.602
Li Pb Se
2 1 2
Direct
0.250 0.750 0.500
0.750 0.250 0.500
0.000 0.000 0.000
0.370 0.370 0.000
0.630 0.630 0.000
```



# 10
Below is YHfAg2Sn at its PBEsol-relaxed geometry, with properties calculated at the meta-GGA SCAN level.

M_tot, μB per formula unit: 1.384
ΔE_f, eV/atom: 0.81
DFT total energy, eV/atom: -37.027
Space group: P4/mmm (123)

Structure (POSCAR):
```
YHfAg2Sn
1.0
4.949 0.000 0.000
0.000 4.949 0.000
0.000 0.000 5.571
Y Hf Ag Sn
1 1 2 1
Direct
0.000 0.000 0.000
0.500 0.500 0.000
0.000 0.500 0.500
0.500 0.000 0.500
0.000 0.000 0.500
```



# 11
Below is Mn12Os17 at its PBEsol-relaxed geometry, with properties calculated at the meta-GGA SCAN level.

M_tot, μB per formula unit: 0.001
ΔE_f, eV/atom: 0.09
DFT total energy, eV/atom: -49.599
Space group: I-43m (217)

Structure (POSCAR):
```
Mn12Os17
1.0
-4.497 4.497 4.497
4.497 -4.497 4.497
4.497 4.497 -4.497
Mn Os
12 17
Direct
0.000 0.641 0.813
0.000 0.813 0.641
0.172 0.359 0.359
0.187 0.187 0.828
0.187 0.828 0.187
0.359 0.172 0.359
0.359 0.359 0.172
0.641 0.000 0.813
0.641 0.813 0.000
0.813 0.000 0.641
0.813 0.641 0.000
0.828 0.187 0.187
0.000 0.000 0.000
0.000 0.000 0.348
0.000 0.320 0.609
0.000 0.348 0.000
0.000 0.609 0.320
0.290 0.680 0.680
0.320 0.000 0.609
0.320 0.609 0.000
0.348 0.000 0.000
0.391 0.391 0.710
0.391 0.710 0.391
0.609 0.000 0.320
0.609 0.320 0.000
0.652 0.652 0.652
0.680 0.290 0.680
0.680 0.680 0.290
0.710 0.391 0.391
```



# 12
Below is MnTeAu2 at its PBEsol-relaxed geometry, with properties calculated at the meta-GGA SCAN level.

E_form (uncorrected), eV per atom: -0.095
M_tot, μB per formula unit: 4.119
DFT total energy, eV/atom: -48.550
Space group: P4mm (99)

Structure (POSCAR):
```
MnTeAu2
1.0
3.508 0.000 0.000
0.000 3.508 0.000
0.000 0.000 6.005
Mn Te Au
1 1 2
Direct
0.000 0.000 0.000
0.500 0.500 0.227
0.000 0.000 0.544
0.500 0.500 0.762
```



What did the ninth record say?
Below is Li2PbSe2 at its PBEsol-relaxed geometry, with properties calculated at the meta-GGA SCAN level.

E_form (uncorrected), eV per atom: -0.927
M_tot, μB per formula unit: 0.000
DFT total energy, eV/atom: -25.071
Space group: I4/mmm (139)

Structure (POSCAR):
```
Li2PbSe2
1.0
-1.970 1.970 6.602
1.970 -1.970 6.602
1.970 1.970 -6.602
Li Pb Se
2 1 2
Direct
0.250 0.750 0.500
0.750 0.250 0.500
0.000 0.000 0.000
0.370 0.370 0.000
0.630 0.630 0.000
```



Please write out number 10 again, unchanged.
Below is YHfAg2Sn at its PBEsol-relaxed geometry, with properties calculated at the meta-GGA SCAN level.

M_tot, μB per formula unit: 1.384
ΔE_f, eV/atom: 0.81
DFT total energy, eV/atom: -37.027
Space group: P4/mmm (123)

Structure (POSCAR):
```
YHfAg2Sn
1.0
4.949 0.000 0.000
0.000 4.949 0.000
0.000 0.000 5.571
Y Hf Ag Sn
1 1 2 1
Direct
0.000 0.000 0.000
0.500 0.500 0.000
0.000 0.500 0.500
0.500 0.000 0.500
0.000 0.000 0.500
```